ZnSO5 after structural relaxation, computed with GGA-PBE.

CIF file:
```
data_ZnSO5
_chemical_formula_sum 'Zn2 S2 O10'
_symmetry_space_group_name_H-M 'P 1'
_symmetry_Int_Tables_number 1
_symmetry_space_group_name_Hall 'P 1'
_cell_length_a 5.2055
_cell_length_b 5.2055
_cell_length_c 7.3827
_cell_angle_alpha 74.35
_cell_angle_beta 74.35
_cell_angle_gamma 102.31
loop_
_atom_site_label
_atom_site_fract_x
_atom_site_fract_y
_atom_site_fract_z
_atom_site_occupancy
Zn1 0.0000 0.0000 0.5000 1
Zn2 0.0000 0.0000 0.0000 1
S1 0.6643 0.3357 0.7500 1
S2 0.3357 0.6643 0.2500 1
O1 0.1041 0.8959 0.7500 1
O2 0.8959 0.1041 0.2500 1
O3 0.8946 0.3545 0.8355 1
O4 0.6455 0.1054 0.6645 1
O5 0.1054 0.6455 0.1645 1
O6 0.3545 0.8946 0.3355 1
O7 0.7253 0.6060 0.5888 1
O8 0.3940 0.2747 0.9112 1
O9 0.2747 0.3940 0.4112 1
O10 0.6060 0.7253 0.0888 1
```

Summary:
- Fermi-level density of states (states/eV/f.u.) = 3.07
- excess energy over the best structure of this formula in the dataset (eV/atom) = 0.0084
- E_form (uncorrected) (eV/atom) = -0.8391